*1*
## Mg2IrI (PBE)

Data for a geometry-optimized Mg2IrI structure.

The structure in CIF format:
```
data_Mg2IrI
_chemical_formula_sum 'Mg8 Ir4 I4'
_space_group_name_H-M_alt 'I -4 2 d'
_space_group_IT_number 122
_space_group_name_Hall 'I -4 2bw'
_cell_length_a 6.4558
_cell_length_b 6.4558
_cell_length_c 12.2401
_cell_angle_alpha 90.00
_cell_angle_beta 90.00
_cell_angle_gamma 90.00
loop_
_atom_site_label
_atom_site_type_symbol
_atom_site_fract_x
_atom_site_fract_y
_atom_site_fract_z
_atom_site_occupancy
Mg1 Mg 0.1890 0.2500 0.1250 1
Ir1 Ir 0.0000 0.0000 0.0000 1
I1 I 0.0000 0.0000 0.5000 1
```

***

*2*
## Mg2IrI (PBE)

Data for a geometry-optimized Mg2IrI structure.

The structure in CIF format:
```
data_Mg2IrI
_chemical_formula_sum 'Mg8 Ir4 I4'
_space_group_name_H-M_alt 'F m -3 m'
_space_group_IT_number 225
_space_group_name_Hall '-F 4 2 3'
_cell_length_a 6.8701
_cell_length_b 6.8701
_cell_length_c 6.8701
_cell_angle_alpha 90.00
_cell_angle_beta 90.00
_cell_angle_gamma 90.00
loop_
_atom_site_label
_atom_site_type_symbol
_atom_site_fract_x
_atom_site_fract_y
_atom_site_fract_z
_atom_site_occupancy
Mg1 Mg 0.2500 0.2500 0.2500 1
Ir1 Ir 0.0000 0.0000 0.0000 1
I1 I 0.0000 0.0000 0.5000 1
```

***

The energetic minimum among the shown structures is *1*; the next structure lies 24 meV/atom above.